(1)
Here is crystalline AlSb3W at its relaxed geometry from Alexandria. Energies are from PBE.

Cell lengths 5.2851, 5.2851, 5.2851 Å; angles 90.00, 90.00, 90.00 degrees
Closest atoms and distances in Å follow each position.
Atoms (fractional coordinates):
Al1 0.5000 0.5000 0.5000  12 Sb 3.74
Sb1 0.0000 0.0000 0.5000  2 W 2.64
Sb2 0.5000 0.0000 0.0000  2 W 2.64
Sb3 0.0000 0.5000 0.0000  2 W 2.64
W1 0.0000 0.0000 0.0000  6 Sb 2.64

Calculated values
Calculated total energy (eV for the cell shown): -25.26
Formation energy from raw total energies (meV per atom): 761.2
Symmetry: No. 221
ΔE to the lowest computed polymorph (eV/atom): 0.0000



(2)
Here is crystalline AlSbW2 at its relaxed geometry from Alexandria. Energies are from PBE.

Cell lengths 4.5745, 4.5745, 4.5745 Å; angles 60.00, 60.00, 60.00 degrees
Closest atoms and distances in Å follow each position.
Atoms (fractional coordinates):
Al1 0.0000 0.0000 0.0000  8 W 2.80
W1 0.2500 0.2500 0.2500  4 Sb 2.80, 4 Al 2.80
Sb1 0.5000 0.5000 0.5000  8 W 2.80
W2 0.7500 0.7500 0.7500  4 Sb 2.80, 4 Al 2.80

Calculated values
Calculated total energy (eV for the cell shown): -31.53
Formation energy from raw total energies (meV per atom): 560.4
Symmetry: No. 225
ΔE to the lowest computed polymorph (eV/atom): 0.4084



Number 1: density of states at the Fermi level 0.799 states/eV per atom, volume 29.52 Å³/atom. Number 2: density of states at the Fermi level 1.738 states/eV per atom, volume 16.92 Å³/atom.